# Cs2VZnF6

Crystalline Cs2VZnF6 at its relaxed geometry (GGA+U, Alexandria).

Properties
Magnetization in μB/f.u.: 3.00
Electronic total energy in eV per atom: -4.7698

abc: 6.111 6.111 6.111
angles: 60.00 60.00 60.00
Atoms (fractional coordinates):
Cs 0.250 0.250 0.250
Cs 0.750 0.750 0.750
V 0.000 0.000 0.000
Zn 0.500 0.500 0.500
F 0.253 0.253 0.747
F 0.253 0.747 0.253
F 0.253 0.747 0.747
F 0.747 0.253 0.253
F 0.747 0.253 0.747
F 0.747 0.747 0.253